Entry 1:
{
  "formula": "Ir2Pt2Au",
  "functional": "PBE",
  "state": "optimized geometry",
  "energy_ev_per_atom": -6.196,
  "sg": "I4/mmm, No. 139",
  "formation_enthalpy_0k_ev_per_atom": 0.42,
  "lattice_angstrom": [[-1.503, 0.616, 3.282], [-0.565, -3.594, 0.416], [4.788, -2.082, 4.627]],
  "species": ["Ir", "Ir", "Au", "Pt", "Pt"],
  "fractional_positions": [[0.750, 0.250, 0.500], [0.250, 0.750, 0.500], [0.000, 0.000, 0.000], [0.399, 0.399, 0.202], [0.601, 0.601, 0.798]]
}



Entry 2:
{
  "formula": "NbCuPS2",
  "functional": "PBE",
  "state": "optimized geometry",
  "energy_ev_per_atom": -5.262,
  "sg": "P4/mmm, No. 123",
  "e_form_raw_ev_per_atom": 0.3043,
  "lattice_angstrom": [[4.761, 0.000, 0.000], [0.000, 4.761, 0.000], [0.000, 0.000, 4.895]],
  "species": ["P", "Nb", "S", "S", "Cu"],
  "fractional_positions": [[0.000, 0.000, 0.500], [0.000, 0.000, 0.000], [0.000, 0.500, 0.000], [0.500, 0.000, 0.000], [0.500, 0.500, 0.500]]
}



Entry 3:
{
  "formula": "FeBi2Rh",
  "functional": "PBE",
  "state": "optimized geometry",
  "energy_ev_per_atom": -5.612,
  "sg": "Fm-3m, No. 225",
  "formation_enthalpy_0k_ev_per_atom": 0.28,
  "lattice_angstrom": [[0.000, 3.429, 3.429], [3.429, 0.000, 3.429], [3.429, 3.429, 0.000]],
  "species": ["Rh", "Bi", "Bi", "Fe"],
  "fractional_positions": [[0.500, 0.500, 0.500], [0.250, 0.250, 0.250], [0.750, 0.750, 0.750], [0.000, 0.000, 0.000]]
}



Entry 4:
{
  "formula": "LaZn2Sn2",
  "functional": "PBE",
  "state": "optimized geometry",
  "energy_ev_per_atom": -3.430,
  "sg": "R-3m, No. 166",
  "formation_enthalpy_0k_ev_per_atom": -0.33,
  "lattice_angstrom": [[4.708, 0.000, 0.000], [2.354, 4.077, 0.000], [2.354, 1.359, 6.958]],
  "species": ["La", "Zn", "Zn", "Sn", "Sn"],
  "fractional_positions": [[0.000, 0.000, 0.000], [0.250, 0.250, 0.249], [0.750, 0.750, 0.751], [0.570, 0.570, 0.289], [0.430, 0.430, 0.711]]
}